Density functional theory data (PBE) for Pm3DyP4 after structural relaxation.

Properties
Size of the total moment (μB/f.u.): 0.0
ΔH_f (0 K) (eV per atom): -1.57
Crystal system: orthorhombic

a = 4.1035 Å, b = 7.1018 Å, c = 7.1018 Å
α = 109.46°, β = 90.00°, γ = 90.00°
Element x y z (fractional)
Pm 0.0000 0.0000 0.5000
Pm 0.0000 0.5000 0.0000
Pm 0.5000 0.5000 0.5000
Dy 0.5000 0.0000 0.0000
P 0.5000 0.2474 0.7526
P 0.5000 0.7526 0.2474
P 0.0000 0.2451 0.2451
P 0.0000 0.7549 0.7549


Density functional theory data (PBE) for Hg3AsO5 after structural relaxation.

Properties
Size of the total moment (μB/f.u.): 0.0
Formation energy from raw total energies (eV/f.u.): -6.1
Crystal system: monoclinic

a = 7.2412 Å, b = 9.2032 Å, c = 9.3194 Å
α = 90.00°, β = 90.00°, γ = 98.68°
Element x y z (fractional)
Hg 0.7597 0.9878 0.9933
Hg 0.5072 0.1568 0.3629
Hg 0.4928 0.8432 0.6371
Hg 0.0142 0.0503 0.6319
Hg 0.9858 0.9497 0.3681
Hg 0.7403 0.5122 0.4933
Hg 0.4858 0.4497 0.1319
Hg 0.5142 0.5503 0.8681
Hg 0.2403 0.0122 0.0067
Hg 0.9928 0.3432 0.8629
Hg 0.2597 0.4878 0.5067
Hg 0.0072 0.6568 0.1371
O 0.8213 0.1470 0.2334
O 0.5275 0.3862 0.3642
O 0.0828 0.5726 0.8695
O 0.2048 0.2496 0.1784
O 0.7952 0.7504 0.8216
O 0.4725 0.6138 0.6358
O 0.4172 0.9274 0.3695
O 0.0275 0.8862 0.1358
O 0.1787 0.8530 0.7666
O 0.5828 0.0726 0.6305
O 0.2952 0.2504 0.6784
O 0.3213 0.6470 0.2666
O 0.4870 0.1395 0.9164
O 0.6787 0.3530 0.7334
O 0.9172 0.4274 0.1305
O 0.9725 0.1138 0.8642
O 0.5130 0.8605 0.0836
O 0.7048 0.7496 0.3216
O 0.9870 0.6395 0.5836
O 0.0130 0.3605 0.4164
As 0.0019 0.7056 0.7596
As 0.4981 0.7944 0.2596
As 0.5019 0.2056 0.7404
As 0.9981 0.2944 0.2404


Density functional theory data (PBE) for Tb3Pr5In12 after structural relaxation.

Properties
Size of the total moment (μB/f.u.): 0.0
ΔH_f (0 K) (eV per atom): 0.10
Crystal system: cubic

a = 15.7627 Å, b = 15.7627 Å, c = 15.7627 Å
α = 109.47°, β = 109.47°, γ = 109.47°
Element x y z (fractional)
In 0.0748 0.1484 0.2289
In 0.9195 0.5736 0.1484
In 0.9252 0.0736 0.6541
In 0.5736 0.6541 0.4252
In 0.9264 0.0748 0.8459
In 0.0736 0.1484 0.4195
In 0.1541 0.4252 0.0736
In 0.2711 0.8459 0.9195
In 0.7711 0.4195 0.3459
In 0.1541 0.7289 0.5805
In 0.6541 0.5736 0.9252
In 0.4195 0.7711 0.8459
In 0.1484 0.0736 0.9195
In 0.6484 0.2289 0.5748
In 0.0805 0.6541 0.7289
In 0.6484 0.4195 0.5736
In 0.4252 0.2711 0.3516
In 0.7289 0.5748 0.1484
In 0.9264 0.8516 0.5805
In 0.9252 0.8516 0.7711
In 0.4264 0.0805 0.3516
In 0.7711 0.3516 0.9252
In 0.8516 0.9264 0.0805
In 0.3459 0.9195 0.7711
In 0.4195 0.6484 0.0736
In 0.8516 0.9252 0.2711
In 0.0805 0.4264 0.8516
In 0.3459 0.4264 0.0748
In 0.5736 0.9195 0.6484
In 0.5748 0.8459 0.4264
In 0.4252 0.1541 0.5736
In 0.3516 0.7711 0.4252
In 0.3516 0.5805 0.4264
In 0.5748 0.7289 0.6484
In 0.2289 0.6484 0.0748
In 0.5805 0.3516 0.9264
In 0.2289 0.5805 0.6541
In 0.0736 0.9252 0.1541
In 0.8459 0.5748 0.9264
In 0.2711 0.4252 0.8516
In 0.0748 0.9264 0.3459
In 0.8459 0.2711 0.4195
In 0.4264 0.3459 0.5748
In 0.5805 0.2289 0.1541
In 0.1484 0.0748 0.7289
In 0.7289 0.1541 0.0805
In 0.6541 0.0805 0.2289
In 0.9195 0.3459 0.2711
Pr 0.5000 0.5000 0.0000
Pr 0.6250 0.8750 0.2500
Pr 0.7500 0.1250 0.8750
Pr 0.0000 0.0000 0.5000
Pr 0.0000 0.0000 0.0000
Pr 0.8750 0.6250 0.7500
Pr 0.2500 0.3750 0.6250
Pr 0.7500 0.6250 0.3750
Pr 0.3750 0.2500 0.1250
Pr 0.0000 0.5000 0.0000
Pr 0.5000 0.0000 0.0000
Pr 0.0000 0.5000 0.5000
Pr 0.5000 0.0000 0.5000
Pr 0.6250 0.7500 0.8750
Pr 0.3750 0.1250 0.7500
Pr 0.5000 0.5000 0.5000
Pr 0.1250 0.7500 0.3750
Pr 0.8750 0.2500 0.6250
Pr 0.1250 0.3750 0.2500
Pr 0.2500 0.8750 0.1250
Tb 0.3750 0.6250 0.2500
Tb 0.2500 0.1250 0.3750
Tb 0.7500 0.3750 0.1250
Tb 0.2500 0.6250 0.8750
Tb 0.3750 0.7500 0.6250
Tb 0.8750 0.7500 0.1250
Tb 0.7500 0.8750 0.6250
Tb 0.8750 0.1250 0.2500
Tb 0.6250 0.3750 0.7500
Tb 0.6250 0.2500 0.3750
Tb 0.1250 0.8750 0.7500
Tb 0.1250 0.2500 0.8750


Please write out number 2 again, unchanged.
Density functional theory data (PBE) for Hg3AsO5 after structural relaxation.

Properties
Size of the total moment (μB/f.u.): 0.0
Formation energy from raw total energies (eV/f.u.): -6.1
Crystal system: monoclinic

a = 7.2412 Å, b = 9.2032 Å, c = 9.3194 Å
α = 90.00°, β = 90.00°, γ = 98.68°
Element x y z (fractional)
Hg 0.7597 0.9878 0.9933
Hg 0.5072 0.1568 0.3629
Hg 0.4928 0.8432 0.6371
Hg 0.0142 0.0503 0.6319
Hg 0.9858 0.9497 0.3681
Hg 0.7403 0.5122 0.4933
Hg 0.4858 0.4497 0.1319
Hg 0.5142 0.5503 0.8681
Hg 0.2403 0.0122 0.0067
Hg 0.9928 0.3432 0.8629
Hg 0.2597 0.4878 0.5067
Hg 0.0072 0.6568 0.1371
O 0.8213 0.1470 0.2334
O 0.5275 0.3862 0.3642
O 0.0828 0.5726 0.8695
O 0.2048 0.2496 0.1784
O 0.7952 0.7504 0.8216
O 0.4725 0.6138 0.6358
O 0.4172 0.9274 0.3695
O 0.0275 0.8862 0.1358
O 0.1787 0.8530 0.7666
O 0.5828 0.0726 0.6305
O 0.2952 0.2504 0.6784
O 0.3213 0.6470 0.2666
O 0.4870 0.1395 0.9164
O 0.6787 0.3530 0.7334
O 0.9172 0.4274 0.1305
O 0.9725 0.1138 0.8642
O 0.5130 0.8605 0.0836
O 0.7048 0.7496 0.3216
O 0.9870 0.6395 0.5836
O 0.0130 0.3605 0.4164
As 0.0019 0.7056 0.7596
As 0.4981 0.7944 0.2596
As 0.5019 0.2056 0.7404
As 0.9981 0.2944 0.2404


Copy entry 2 word for word.
Density functional theory data (PBE) for Hg3AsO5 after structural relaxation.

Properties
Size of the total moment (μB/f.u.): 0.0
Formation energy from raw total energies (eV/f.u.): -6.1
Crystal system: monoclinic

a = 7.2412 Å, b = 9.2032 Å, c = 9.3194 Å
α = 90.00°, β = 90.00°, γ = 98.68°
Element x y z (fractional)
Hg 0.7597 0.9878 0.9933
Hg 0.5072 0.1568 0.3629
Hg 0.4928 0.8432 0.6371
Hg 0.0142 0.0503 0.6319
Hg 0.9858 0.9497 0.3681
Hg 0.7403 0.5122 0.4933
Hg 0.4858 0.4497 0.1319
Hg 0.5142 0.5503 0.8681
Hg 0.2403 0.0122 0.0067
Hg 0.9928 0.3432 0.8629
Hg 0.2597 0.4878 0.5067
Hg 0.0072 0.6568 0.1371
O 0.8213 0.1470 0.2334
O 0.5275 0.3862 0.3642
O 0.0828 0.5726 0.8695
O 0.2048 0.2496 0.1784
O 0.7952 0.7504 0.8216
O 0.4725 0.6138 0.6358
O 0.4172 0.9274 0.3695
O 0.0275 0.8862 0.1358
O 0.1787 0.8530 0.7666
O 0.5828 0.0726 0.6305
O 0.2952 0.2504 0.6784
O 0.3213 0.6470 0.2666
O 0.4870 0.1395 0.9164
O 0.6787 0.3530 0.7334
O 0.9172 0.4274 0.1305
O 0.9725 0.1138 0.8642
O 0.5130 0.8605 0.0836
O 0.7048 0.7496 0.3216
O 0.9870 0.6395 0.5836
O 0.0130 0.3605 0.4164
As 0.0019 0.7056 0.7596
As 0.4981 0.7944 0.2596
As 0.5019 0.2056 0.7404
As 0.9981 0.2944 0.2404